## BeTcW2 (PBE-GGA)

Data for BeTcW2 after structural relaxation.

Geometry as POSCAR:
```
BeTcW2
1.0
-0.762 -1.963 1.789
2.190 0.589 1.579
-3.989 4.918 3.696
Be Tc W
1 1 2
direct
0.500 0.500 0.250
0.500 0.500 0.750
0.000 0.000 0.023
0.000 0.000 0.477
```

Properties
final energy = -9.75 eV/atom
space group = No. 123
DFT formation energy = 5.66 kcal/mol of atoms